! MgGeTeI2 (GGA-PBE, optimized geometry); values from VASP
&SYSTEM
  ibrav = 0, nat = 5, ntyp = 4
/
ATOMIC_SPECIES
I 126.90 I.upf
Ge 72.64 Ge.upf
Te 127.60 Te.upf
Mg 24.30 Mg.upf
ATOMIC_POSITIONS angstrom
I 0.000 2.829 0.000
I 2.829 0.000 0.000
Ge 0.000 0.000 0.000
Te 0.000 0.000 2.812
Mg 2.829 2.829 2.812
CELL_PARAMETERS angstrom
5.658 0.000 0.000
0.000 5.658 0.000
0.000 0.000 5.625
! * total energy: -12.10 eV/f.u.
! * uncorrected formation energy: 0.0713 eV per atom
! * offset from the most stable computed form: 0.27 kcal/mol of atoms
! * symmetry: P4/mmm, No. 123
! * magnetization: 0.000 μB/atom



! MgGeTeI2 (GGA-PBE, optimized geometry); values from VASP
&SYSTEM
  ibrav = 0, nat = 5, ntyp = 4
/
ATOMIC_SPECIES
I 126.90 I.upf
Ge 72.64 Ge.upf
Te 127.60 Te.upf
Mg 24.30 Mg.upf
ATOMIC_POSITIONS angstrom
I 0.000 2.744 0.000
I 2.744 0.000 0.000
Ge 2.744 2.744 2.903
Te 0.000 0.000 2.903
Mg 0.000 0.000 0.000
CELL_PARAMETERS angstrom
5.488 0.000 0.000
0.000 5.488 0.000
0.000 0.000 5.805
! * total energy: -12.16 eV/f.u.
! * uncorrected formation energy: 0.0597 eV per atom
! * offset from the most stable computed form: 0.00 kcal/mol of atoms
! * symmetry: P4/mmm, No. 123
! * magnetization: 0.000 μB/atom



! MgGeTeI2 (GGA-PBE, optimized geometry); values from VASP
&SYSTEM
  ibrav = 0, nat = 5, ntyp = 4
/
ATOMIC_SPECIES
I 126.90 I.upf
Ge 72.64 Ge.upf
Te 127.60 Te.upf
Mg 24.30 Mg.upf
ATOMIC_POSITIONS angstrom
I 0.000 0.000 3.165
I 3.165 0.000 0.000
Ge 3.165 2.673 3.165
Te 0.000 0.000 0.000
Mg 0.000 2.673 0.000
CELL_PARAMETERS angstrom
6.330 0.000 0.000
0.000 5.346 0.000
0.000 0.000 6.330
! * total energy: -9.99 eV/f.u.
! * uncorrected formation energy: 0.4931 eV per atom
! * offset from the most stable computed form: 10.00 kcal/mol of atoms
! * symmetry: P4/mmm, No. 123
! * magnetization: 0.291 μB/atom



! Mn3GeI (GGA-PBE, optimized geometry); values from VASP
&SYSTEM
  ibrav = 0, nat = 5, ntyp = 3
/
ATOMIC_SPECIES
I 126.90 I.upf
Ge 72.64 Ge.upf
Mn 54.94 Mn.upf
ATOMIC_POSITIONS angstrom
I 0.000 0.000 0.000
Ge 2.448 2.448 2.448
Mn 0.000 2.448 0.000
Mn 0.000 0.000 2.448
Mn 2.448 0.000 0.000
CELL_PARAMETERS angstrom
4.895 0.000 0.000
0.000 4.895 0.000
0.000 0.000 4.895
! * total energy: -26.61 eV/f.u.
! * uncorrected formation energy: 1.4137 eV per atom
! * offset from the most stable computed form: 16.68 kcal/mol of atoms
! * symmetry: Pm-3m, No. 221
! * magnetization: 2.068 μB/atom



! Mn2GeI (GGA-PBE, optimized geometry); values from VASP
&SYSTEM
  ibrav = 0, nat = 8, ntyp = 3
/
ATOMIC_SPECIES
I 126.90 I.upf
Ge 72.64 Ge.upf
Mn 54.94 Mn.upf
ATOMIC_POSITIONS angstrom
I 0.000 0.000 0.000
I -1.098 -6.712 3.665
Ge -2.194 -3.964 0.664
Ge -0.764 -7.645 -0.806
Mn -1.058 -3.967 2.867
Mn -0.970 -5.194 -1.105
Mn 0.158 -8.033 1.462
Mn -1.855 -11.522 2.495
CELL_PARAMETERS angstrom
-2.527 -3.030 5.134
-1.860 -4.897 -3.806
2.525 -6.430 1.531
! * total energy: -22.72 eV/f.u.
! * uncorrected formation energy: 0.4476 eV per atom
! * offset from the most stable computed form: 0.00 kcal/mol of atoms
! * symmetry: I-42d, No. 122
! * magnetization: 2.148 μB/atom



! MnGe5I12 (GGA-PBE, optimized geometry); values from VASP
&SYSTEM
  ibrav = 0, nat = 18, ntyp = 3
/
ATOMIC_SPECIES
Mn 54.94 Mn.upf
Ge 72.64 Ge.upf
I 126.90 I.upf
ATOMIC_POSITIONS angstrom
Mn -4.996 -12.470 7.390
Ge -5.760 -5.954 1.966
Ge -4.291 -8.423 -1.205
Ge -8.287 -6.908 -1.348
Ge -10.051 -14.376 0.762
Ge -7.523 -13.424 4.076
I -8.422 -7.761 -6.518
I -5.216 -10.992 -2.519
I -9.931 -14.137 -2.255
I -2.647 -1.193 -0.297
I -7.258 -13.239 1.064
I -1.270 -3.697 -3.589
I -11.308 -11.634 1.037
I -5.320 -2.092 -3.616
I -6.683 -8.524 0.652
I -9.211 -9.476 -2.661
I -3.368 -5.854 0.109
I -5.896 -6.807 -3.204
CELL_PARAMETERS angstrom
-6.523 0.561 -3.457
-1.059 -3.422 -6.486
-4.996 -12.470 7.390
! * total energy: -57.04 eV/f.u.
! * uncorrected formation energy: -0.3435 eV per atom
! * symmetry: C2/m, No. 12
! * magnetization: 0.275 μB/atom



! MnGe2I (GGA-PBE, optimized geometry); values from VASP
&SYSTEM
  ibrav = 0, nat = 8, ntyp = 3
/
ATOMIC_SPECIES
I 126.90 I.upf
Ge 72.64 Ge.upf
Mn 54.94 Mn.upf
ATOMIC_POSITIONS angstrom
I 0.000 0.000 0.000
I 5.506 2.753 3.748
Ge 3.278 1.377 1.874
Ge 2.228 4.130 1.874
Ge 4.130 4.981 5.622
Ge 6.883 6.031 5.622
Mn 2.753 2.753 0.000
Mn 2.753 5.506 3.748
CELL_PARAMETERS angstrom
5.506 0.000 0.000
0.000 5.506 0.000
2.753 2.753 7.496
! * total energy: -17.94 eV/f.u.
! * uncorrected formation energy: 0.5037 eV per atom
! * offset from the most stable computed form: 0.00 kcal/mol of atoms
! * symmetry: I-42d, No. 122
! * magnetization: 0.635 μB/atom



! MnGe2I8 (GGA-PBE, optimized geometry); values from VASP
&SYSTEM
  ibrav = 0, nat = 11, ntyp = 3
/
ATOMIC_SPECIES
Mn 54.94 Mn.upf
Ge 72.64 Ge.upf
I 126.90 I.upf
ATOMIC_POSITIONS angstrom
Mn 0.000 0.000 0.000
Ge 1.603 5.847 9.075
Ge 6.246 1.714 3.122
I 6.050 7.491 5.531
I 2.105 5.934 2.834
I 6.327 6.254 10.075
I 1.522 1.308 2.123
I 5.744 1.627 9.364
I 1.799 0.070 6.666
I 3.021 4.463 7.070
I 4.828 3.099 5.128
CELL_PARAMETERS angstrom
7.399 0.008 0.603
0.465 8.375 2.792
-0.016 -0.822 8.802
! * total energy: -33.52 eV/f.u.
! * uncorrected formation energy: -0.2465 eV per atom
! * offset from the most stable computed form: 0.18 kcal/mol of atoms
! * symmetry: C2/m, No. 12
! * magnetization: 0.459 μB/atom



! MnGe2I6 (GGA-PBE, optimized geometry); values from VASP
&SYSTEM
  ibrav = 0, nat = 9, ntyp = 3
/
ATOMIC_SPECIES
Mn 54.94 Mn.upf
Ge 72.64 Ge.upf
I 126.90 I.upf
ATOMIC_POSITIONS angstrom
Mn 7.613 4.395 7.331
Ge 11.419 6.593 6.672
Ge 7.613 4.395 1.997
I 9.925 4.719 5.442
I 6.176 6.235 5.442
I 6.738 2.230 5.442
I 4.774 4.359 1.507
I 9.063 1.955 1.507
I 9.001 6.871 1.507
CELL_PARAMETERS angstrom
7.613 0.000 0.000
3.807 6.593 0.000
3.806 2.198 7.365
! * total energy: -30.20 eV/f.u.
! * uncorrected formation energy: -0.2770 eV per atom
! * offset from the most stable computed form: 1.98 kcal/mol of atoms
! * symmetry: R3, No. 146
! * magnetization: 0.555 μB/atom



! MnGeI (GGA-PBE, optimized geometry); values from VASP
&SYSTEM
  ibrav = 0, nat = 6, ntyp = 3
/
ATOMIC_SPECIES
Mn 54.94 Mn.upf
Ge 72.64 Ge.upf
I 126.90 I.upf
ATOMIC_POSITIONS angstrom
Mn 2.454 -1.520 0.384
Mn 5.229 3.617 2.997
Ge 3.152 2.621 4.042
Ge 4.256 4.667 5.082
I 5.350 8.394 4.557
I 1.424 1.121 0.860
CELL_PARAMETERS angstrom
-1.208 -1.086 3.419
3.366 -1.168 -1.277
5.547 10.275 5.225
! * total energy: -14.69 eV/f.u.
! * uncorrected formation energy: 0.2168 eV per atom
! * symmetry: P-6m2, No. 187
! * magnetization: 0.632 μB/atom



! MnGe3I (GGA-PBE, optimized geometry); values from VASP
&SYSTEM
  ibrav = 0, nat = 5, ntyp = 3
/
ATOMIC_SPECIES
I 126.90 I.upf
Ge 72.64 Ge.upf
Mn 54.94 Mn.upf
ATOMIC_POSITIONS angstrom
I 2.384 2.384 2.384
Ge 0.000 2.384 0.000
Ge 0.000 0.000 2.384
Ge 2.384 0.000 0.000
Mn 0.000 0.000 0.000
CELL_PARAMETERS angstrom
4.768 0.000 0.000
0.000 4.768 0.000
0.000 0.000 4.768
! * total energy: -24.17 eV/f.u.
! * uncorrected formation energy: 0.0813 eV per atom
! * offset from the most stable computed form: 0.00 kcal/mol of atoms
! * symmetry: Pm-3m, No. 221
! * magnetization: 0.000 μB/atom



! MnGeI3 (GGA-PBE, optimized geometry); values from VASP
&SYSTEM
  ibrav = 0, nat = 5, ntyp = 3
/
ATOMIC_SPECIES
I 126.90 I.upf
Ge 72.64 Ge.upf
Mn 54.94 Mn.upf
ATOMIC_POSITIONS angstrom
I 0.000 2.817 0.000
I 0.000 0.000 2.817
I 2.817 0.000 0.000
Ge 2.817 2.817 2.817
Mn 0.000 0.000 0.000
CELL_PARAMETERS angstrom
5.634 0.000 0.000
0.000 5.634 0.000
0.000 0.000 5.634
! * total energy: -17.17 eV/f.u.
! * uncorrected formation energy: 0.2529 eV per atom
! * offset from the most stable computed form: 0.00 kcal/mol of atoms
! * symmetry: Pm-3m, No. 221
! * magnetization: 0.990 μB/atom



! MnGe2I6 (GGA-PBE, optimized geometry); values from VASP
&SYSTEM
  ibrav = 0, nat = 9, ntyp = 3
/
ATOMIC_SPECIES
Mn 54.94 Mn.upf
Ge 72.64 Ge.upf
I 126.90 I.upf
ATOMIC_POSITIONS angstrom
Mn 3.728 0.000 0.000
Ge 3.728 2.131 3.692
Ge 3.728 4.263 0.000
I 2.032 4.338 4.879
I 2.032 2.056 1.187
I 2.032 0.000 5.009
I 5.423 2.056 -1.187
I 5.423 4.338 2.505
I 5.423 6.394 -1.318
CELL_PARAMETERS angstrom
7.456 0.000 0.000
0.000 6.394 -3.692
0.000 0.000 7.383
! * total energy: -30.97 eV/f.u.
! * uncorrected formation energy: -0.3628 eV per atom
! * offset from the most stable computed form: 0.00 kcal/mol of atoms
! * symmetry: P-31m, No. 162
! * magnetization: 0.553 μB/atom



! MnGe2I8 (GGA-PBE, optimized geometry); values from VASP
&SYSTEM
  ibrav = 0, nat = 11, ntyp = 3
/
ATOMIC_SPECIES
Mn 54.94 Mn.upf
Ge 72.64 Ge.upf
I 126.90 I.upf
ATOMIC_POSITIONS angstrom
Mn 0.000 0.000 0.000
Ge 1.121 -12.603 2.256
Ge -0.351 -3.692 1.009
I 4.117 -7.447 3.999
I 0.114 -7.330 6.023
I 3.195 -11.441 0.933
I -2.425 -4.853 2.332
I 0.656 -8.964 -2.758
I -3.347 -8.848 -0.734
I -0.920 -10.862 2.911
I 1.691 -5.432 0.354
CELL_PARAMETERS angstrom
-4.962 -3.664 3.364
0.234 -7.469 -5.188
5.498 -5.161 5.089
! * total energy: -33.60 eV/f.u.
! * uncorrected formation energy: -0.2544 eV per atom
! * offset from the most stable computed form: 0.00 kcal/mol of atoms
! * symmetry: C2/m, No. 12
! * magnetization: 0.454 μB/atom